Record 1
Compound: CeZn2Ag3
Source: the Alexandria database
Functional: GGA-PBE
Structure: relaxed

Values from the calculation:
Magnetic moment = 2.227 μB/cell
Symmetry = Cmcm, No. 63
E_form = -0.11 eV per atom
DOS(E_F) = 1.629 states/eV/atom

Cell and atoms, written as POSCAR:
```
CeZn2Ag3
1.0
5.404 0.000 0.000
0.000 6.727 0.166
0.000 0.515 6.709
Ag Ce Zn
6 2 4
Cartesian
1.351 6.302 3.160
4.053 3.482 6.129
1.351 3.759 0.746
1.351 6.493 0.412
4.053 0.940 3.716
4.053 0.749 6.463
4.053 4.696 2.305
1.351 2.546 4.570
2.702 1.695 1.609
0.000 5.547 5.266
2.702 5.547 5.266
0.000 1.695 1.609
```



Record 2
Compound: CeZn10Ag
Source: the Alexandria database
Functional: GGA-PBE
Structure: relaxed

Values from the calculation:
Magnetic moment = 0.867 μB/cell
Symmetry = Pmmm, No. 47
E_form = -0.08 eV per atom
DOS(E_F) = 0.743 states/eV/atom

Cell and atoms, written as POSCAR:
```
CeZn10Ag
1.0
4.367 0.000 0.000
0.000 5.092 0.000
0.000 0.000 9.289
Ce Zn Ag
1 10 1
Cartesian
0.000 2.546 4.645
2.183 1.317 2.432
0.000 0.000 2.769
2.183 2.546 0.000
0.000 2.546 1.410
2.183 0.000 4.645
2.183 1.317 6.857
2.183 3.774 6.857
0.000 2.546 7.879
0.000 0.000 6.521
2.183 3.774 2.432
0.000 0.000 0.000
```



Record 3
Compound: Ce2Zn2Ag
Source: the Alexandria database
Functional: GGA-PBE
Structure: relaxed

Values from the calculation:
Magnetic moment = 1.726 μB/cell
Symmetry = Cmmm, No. 65
E_form = -0.18 eV per atom
DOS(E_F) = 2.009 states/eV/atom

Cell and atoms, written as POSCAR:
```
Ce2Zn2Ag
1.0
-1.111 0.572 3.063
-3.243 -3.372 -0.546
6.061 -2.985 2.756
Zn Ag Ce
2 1 2
Cartesian
1.784 -1.877 0.998
1.034 -4.480 1.212
0.000 0.000 0.000
-1.227 -2.398 1.789
2.934 -3.387 3.483
```



Record 4
Compound: Ce2Zn2Ag3
Source: the Alexandria database
Functional: GGA-PBE
Structure: relaxed

Values from the calculation:
Magnetic moment = 4.477 μB/cell
Symmetry = Cmcm, No. 63
E_form = -0.13 eV per atom
DOS(E_F) = 2.252 states/eV/atom

Cell and atoms, written as POSCAR:
```
Ce2Zn2Ag3
1.0
4.166 0.000 -0.993
0.000 7.474 0.000
0.206 0.000 10.096
Ag Zn Ce
6 4 4
Cartesian
2.375 3.248 0.728
2.375 0.488 0.728
3.343 1.868 4.791
1.997 6.985 8.375
1.028 5.605 4.312
1.997 4.225 8.375
2.955 4.174 3.160
1.417 0.437 5.942
2.955 7.036 3.160
1.417 3.300 5.942
0.278 5.605 1.166
4.093 1.868 7.937
3.635 5.605 6.014
0.736 1.868 3.089
```



Record 5
Compound: Ce3Zn4Ag2
Source: the Alexandria database
Functional: GGA-PBE
Structure: relaxed

Values from the calculation:
Magnetic moment = 2.888 μB/cell
Symmetry = C2/m, No. 12
E_form = -0.25 eV per atom
DOS(E_F) = 1.957 states/eV/atom

Cell and atoms, written as POSCAR:
```
Ce3Zn4Ag2
1.0
-0.149 -1.601 4.463
-2.691 -3.371 -3.820
8.829 -0.344 0.170
Ag Ce Zn
2 3 4
Cartesian
1.758 -1.840 1.919
4.232 -3.476 -1.106
1.084 -2.907 -1.007
0.000 0.000 0.000
4.906 -2.409 1.820
-0.823 -2.725 1.516
2.857 -4.759 0.909
3.133 -0.557 -0.096
6.813 -2.591 -0.703
```



Record 6
Compound: Ce3Zn4Ag4
Source: the Alexandria database
Functional: GGA-PBE
Structure: relaxed

Values from the calculation:
Magnetic moment = 2.956 μB/cell
Symmetry = P-1, No. 2
E_form = -0.19 eV per atom
DOS(E_F) = 1.713 states/eV/atom

Cell and atoms, written as POSCAR:
```
Ce3Zn4Ag4
1.0
3.270 0.000 0.002
0.000 4.738 0.004
1.626 2.358 14.671
Ag Ce Zn
4 3 4
Cartesian
3.260 2.361 11.929
1.636 4.735 2.747
3.265 4.732 7.696
1.631 2.364 6.980
1.626 4.731 10.557
3.269 2.365 4.119
0.000 0.000 0.000
3.260 4.728 13.326
1.633 4.733 5.512
1.636 2.368 1.349
3.263 2.363 9.165
```



Record 7
Compound: CeZn6Ag6
Source: the Alexandria database
Functional: GGA-PBE
Structure: relaxed

Values from the calculation:
Magnetic moment = 0.951 μB/cell
Symmetry = Immm, No. 71
E_form = -0.13 eV per atom
DOS(E_F) = 0.858 states/eV/atom

Cell and atoms, written as POSCAR:
```
CeZn6Ag6
1.0
-1.241 4.152 -2.886
-5.771 -1.224 -3.976
-4.468 4.329 3.451
Ag Zn Ce
6 6 1
Cartesian
-5.320 0.697 -1.407
-4.387 3.786 -2.061
-2.452 1.863 -0.963
-7.092 3.471 -1.351
-4.919 2.408 0.882
-9.028 5.394 -2.449
-2.885 -0.612 -1.988
-2.854 4.241 0.282
-5.381 5.155 0.337
-3.506 1.464 -3.431
-6.098 2.102 -3.748
-2.234 2.164 1.726
0.000 0.000 0.000
```



Record 8
Compound: Ce2Zn2Ag3
Source: the Alexandria database
Functional: GGA-PBE
Structure: relaxed

Values from the calculation:
Magnetic moment = 2.207 μB/cell
Symmetry = C2/m, No. 12
E_form = -0.12 eV per atom
DOS(E_F) = 1.874 states/eV/atom

Cell and atoms, written as POSCAR:
```
Ce2Zn2Ag3
1.0
-3.386 0.027 -1.772
4.015 -2.482 -3.588
-1.859 -5.970 3.460
Ag Ce Zn
3 2 2
Cartesian
1.258 -2.313 -2.439
0.000 0.000 0.000
-2.488 -6.112 0.538
0.427 -5.787 -0.904
-1.657 -2.639 -0.996
-0.833 -4.291 1.527
-0.397 -4.134 -3.427
```



Record 9
Compound: Ce3Zn2Ag4
Source: the Alexandria database
Functional: GGA-PBE
Structure: relaxed

Values from the calculation:
Magnetic moment = 2.609 μB/cell
Symmetry = C2/m, No. 12
E_form = -0.21 eV per atom
DOS(E_F) = 1.861 states/eV/atom

Cell and atoms, written as POSCAR:
```
Ce3Zn2Ag4
1.0
4.836 0.000 0.000
-2.418 4.935 -1.907
0.000 -1.599 8.834
Ce Ag Zn
3 4 2
Cartesian
2.418 0.564 5.244
0.000 0.000 0.000
0.000 2.772 1.683
2.418 2.057 -0.312
0.000 1.278 7.239
2.418 3.369 3.731
0.000 -0.034 3.197
2.418 0.655 2.046
0.000 2.681 4.881
```



Record 10
Compound: CeZn12Ag6
Source: the Alexandria database
Functional: GGA-PBE
Structure: relaxed

Values from the calculation:
Magnetic moment = 1.237 μB/cell
Symmetry = R-3m, No. 166
E_form = -0.01 eV per atom
DOS(E_F) = 0.681 states/eV/atom

Cell and atoms, written as POSCAR:
```
CeZn12Ag6
1.0
7.290 0.004 0.005
-1.803 7.063 0.005
-1.803 -2.323 6.671
Zn Ag Ce
12 6 1
Cartesian
5.407 3.285 0.728
4.108 2.947 4.150
1.837 2.366 5.815
1.837 4.711 4.150
1.847 2.379 0.866
-1.724 5.140 3.341
-0.425 1.797 2.531
-1.724 1.460 5.954
5.407 -0.396 3.341
1.847 0.034 2.531
1.842 -1.308 5.954
1.842 6.052 0.728
3.366 0.411 4.736
0.317 0.409 4.732
-0.436 3.363 4.736
4.119 1.382 1.946
3.366 4.336 1.949
0.317 4.333 1.946
0.000 0.000 0.000
```



Record 11
Compound: CeZn2Ag
Source: the Alexandria database
Functional: GGA-PBE
Structure: relaxed

Values from the calculation:
Magnetic moment = 0.636 μB/cell
Symmetry = Fm-3m, No. 225
E_form = -0.20 eV per atom
DOS(E_F) = 1.312 states/eV/atom

Cell and atoms, written as POSCAR:
```
CeZn2Ag
1.0
4.830 0.000 0.000
2.415 4.183 0.000
2.415 1.394 3.944
Ag Zn Ce
1 2 1
Cartesian
4.830 2.789 1.972
7.245 4.183 2.958
2.415 1.394 0.986
0.000 0.000 0.000
```



Record 12
Compound: CeZn2Ag3
Source: the Alexandria database
Functional: GGA-PBE
Structure: relaxed

Values from the calculation:
Magnetic moment = 2.036 μB/cell
Symmetry = C2/m, No. 12
E_form = -0.10 eV per atom
DOS(E_F) = 1.477 states/eV/atom

Cell and atoms, written as POSCAR:
```
CeZn2Ag3
1.0
4.301 0.000 0.000
-2.151 8.163 0.009
0.000 -3.670 6.962
Zn Ag Ce
4 6 2
Cartesian
0.000 4.792 5.802
0.000 0.685 5.018
2.151 -0.300 1.169
2.151 3.808 1.952
0.000 5.417 2.136
2.151 1.390 3.154
0.000 3.103 3.817
0.000 -0.673 2.638
2.151 -0.924 4.835
2.151 5.166 4.333
0.000 2.150 0.437
2.151 2.343 6.533
```